Crystalline BeRu at its relaxed geometry, computed with PBE.

a = 2.7434 Å, b = 4.2335 Å, c = 3.9694 Å
α = 90.00°, β = 90.00°, γ = 90.00°
Space group Pmmn (No. 59, origin choice 2)
Asymmetric unit:
Be1 0.2500 0.2500 0.0746 [2 per cell]
Ru1 0.2500 0.7500 0.4097 [2 per cell]

Computed properties:
DFT formation energy = -4.2 kJ per mole of atoms



Crystalline LaPrSmS3 at its relaxed geometry, computed with PBE.

a = 7.0619 Å, b = 3.9896 Å, c = 10.6968 Å
α = 90.00°, β = 102.44°, γ = 90.00°
Space group P2_1/m (No. 11)
Asymmetric unit:
La1 0.1509 0.2500 0.1961 [2 per cell]
Pr1 0.3745 0.2500 0.8687 [2 per cell]
Sm1 0.2674 0.7500 0.5550 [2 per cell]
S1 0.0452 0.2500 0.6588 [2 per cell]
S2 0.2156 0.7500 0.0069 [2 per cell]
S3 0.4452 0.7500 0.3447 [2 per cell]

Computed properties:
formation energy (no corrections) = -1.978 eV per atom



Crystalline Hf7Pb at its relaxed geometry, computed with PBE.

a = 4.4041 Å, b = 4.4041 Å, c = 18.6259 Å
α = 90.00°, β = 90.00°, γ = 90.00°
Space group I4/mmm (No. 139)
Asymmetric unit:
Hf1 0.0000 0.0000 0.0000 [2 per cell]
Hf2 0.0000 0.0000 0.2519 [4 per cell]
Hf3 0.0000 0.5000 0.1298 [8 per cell]
Pb1 0.0000 0.0000 0.5000 [2 per cell]

Computed properties:
DFT formation energy = 0.0 kJ per mole of atoms



Crystalline KReTc2 at its relaxed geometry, computed with PBE.

a = 6.4144 Å, b = 6.4144 Å, c = 6.4144 Å
α = 90.00°, β = 90.00°, γ = 90.00°
Space group Fm-3m (No. 225)
Asymmetric unit:
K1 0.0000 0.0000 0.0000 [4 per cell]
Re1 0.0000 0.0000 0.5000 [4 per cell]
Tc1 0.2500 0.2500 0.2500 [8 per cell]

Computed properties:
DFT formation energy = 132.6 kJ per mole of atoms



| no. | D(E_F) (states/eV/f.u.) | VASP energy (eV per atom) | spin magnetization (μB/atom) |
| --- | --- | --- | --- |
| 1 | 1.040 | -6.5450 | 0.000 |
| 2 | 3.427 | -6.4459 | 0.000 |
| 3 | 8.548 | -9.1727 | 0.000 |
| 4 | 4.828 | -7.1950 | 0.000 |